#w
CsBiCl2 | Alexandria via LeMat-Bulk | PBE | optimized geometry; theoretical density = 5.1 g/cm3; spin magnetization = 2.0 μB/cell; volume = 33.8 Å³ per atom
1.0
3.924 -3.905 1.585
-1.283 -5.610 -0.185
2.454 -3.386 -3.958
Cs Bi Cl
1 1 2
direct
0.000 0.000 0.000
0.500 0.500 0.500
0.250 0.250 0.250
0.750 0.750 0.750

#x
CsBiCl2 | Alexandria via LeMat-Bulk | PBE | optimized geometry; theoretical density = 4.6 g/cm3; spin magnetization = 0.0 μB/cell; volume = 37.4 Å³ per atom
1.0
2.382 0.000 10.155
-1.191 2.063 10.155
-1.191 -2.063 10.155
Cs Bi Cl
1 1 2
direct
0.500 0.500 0.500
0.000 0.000 0.000
0.910 0.910 0.910
0.090 0.090 0.090

The winner here is #x, beating the second structure by 361 meV/atom.

#w
Cs3Bi2Cl9 | Alexandria via LeMat-Bulk | PBE | optimized geometry; theoretical density = 3.6 g/cm3; spin magnetization = 0.0 μB/cell; volume = 37.1 Å³ per atom
1.0
7.733 0.000 0.000
-3.867 6.697 0.000
0.000 0.000 20.057
Cs Bi Cl
6 4 18
direct
0.000 0.000 0.750
0.000 0.000 0.250
0.667 0.333 0.927
0.333 0.667 0.073
0.333 0.667 0.427
0.667 0.333 0.573
0.667 0.333 0.155
0.333 0.667 0.845
0.333 0.667 0.655
0.667 0.333 0.345
0.498 0.996 0.750
0.004 0.502 0.750
0.498 0.502 0.750
0.502 0.004 0.250
0.996 0.498 0.250
0.502 0.498 0.250
0.170 0.340 0.916
0.660 0.830 0.916
0.170 0.830 0.916
0.830 0.660 0.084
0.340 0.170 0.084
0.830 0.170 0.084
0.830 0.660 0.416
0.340 0.170 0.416
0.830 0.170 0.416
0.170 0.340 0.584
0.660 0.830 0.584
0.170 0.830 0.584

#x
Cs3Bi2Cl9 | Alexandria via LeMat-Bulk | PBE | optimized geometry; theoretical density = 3.7 g/cm3; spin magnetization = 0.0 μB/cell; volume = 36.4 Å³ per atom
1.0
7.822 0.000 0.000
0.000 13.540 0.000
0.000 0.000 19.261
Cs Bi Cl
12 8 36
direct
0.250 0.094 0.591
0.250 0.406 0.091
0.750 0.906 0.409
0.750 0.594 0.909
0.250 0.750 0.250
0.250 0.750 0.750
0.750 0.250 0.750
0.750 0.250 0.250
0.250 0.076 0.913
0.250 0.424 0.413
0.750 0.924 0.087
0.750 0.576 0.587
0.250 0.741 0.498
0.250 0.759 0.998
0.750 0.259 0.502
0.750 0.241 0.002
0.250 0.416 0.823
0.250 0.084 0.323
0.750 0.584 0.177
0.750 0.916 0.677
0.250 0.917 0.413
0.250 0.583 0.913
0.750 0.083 0.587
0.750 0.417 0.087
0.250 0.248 0.755
0.250 0.252 0.255
0.750 0.752 0.245
0.750 0.748 0.745
0.250 0.912 0.079
0.250 0.588 0.579
0.750 0.088 0.921
0.750 0.412 0.421
0.990 0.332 0.580
0.510 0.168 0.080
0.490 0.668 0.420
0.010 0.832 0.920
0.010 0.668 0.420
0.490 0.832 0.920
0.510 0.332 0.580
0.990 0.168 0.080
0.999 0.500 0.754
0.501 0.000 0.254
0.499 0.500 0.246
0.001 0.000 0.746
0.001 0.500 0.246
0.499 0.000 0.746
0.501 0.500 0.754
0.999 0.000 0.254
0.003 0.335 0.916
0.497 0.165 0.416
0.503 0.665 0.084
0.997 0.835 0.584
0.997 0.665 0.084
0.503 0.835 0.584
0.497 0.335 0.916
0.003 0.165 0.416

The winner here is #x, beating the second structure by 6 meV/atom.

#w
CsBiCl3 | Alexandria via LeMat-Bulk | PBE | optimized geometry; theoretical density = 4.1 g/cm3; spin magnetization = 0.0 μB/cell; volume = 36.3 Å³ per atom
1.0
5.661 0.000 0.000
0.000 5.661 0.000
0.000 0.000 5.661
Cs Bi Cl
1 1 3
direct
0.500 0.500 0.500
0.000 0.000 0.000
0.000 0.500 0.000
0.000 0.000 0.500
0.500 0.000 0.000

#x
CsBiCl3 | Alexandria via LeMat-Bulk | PBE | optimized geometry; theoretical density = 2.8 g/cm3; spin magnetization = 0.0 μB/cell; volume = 52.3 Å³ per atom
1.0
7.247 0.000 0.000
3.624 8.502 -0.063
3.624 0.611 8.481
Cs Bi Cl
2 2 6
direct
0.000 0.199 0.801
0.000 0.801 0.199
0.309 0.691 0.691
0.691 0.309 0.309
0.500 0.649 0.351
0.500 0.351 0.649
0.906 0.836 0.836
0.578 0.164 0.164
0.094 0.164 0.164
0.422 0.836 0.836

The winner here is #w, beating the second structure by 131 meV/atom.

#w
CsBi3Cl | Alexandria via LeMat-Bulk | PBE | optimized geometry; theoretical density = 6.7 g/cm3; spin magnetization = 0.0 μB/cell; volume = 39.2 Å³ per atom
1.0
5.808 0.000 0.000
0.000 5.808 0.000
0.000 0.000 5.808
Cs Bi Cl
1 3 1
direct
0.500 0.500 0.500
0.000 0.500 0.000
0.000 0.000 0.500
0.500 0.000 0.000
0.000 0.000 0.000

#x
CsBi3Cl | Alexandria via LeMat-Bulk | PBE | optimized geometry; theoretical density = 5.0 g/cm3; spin magnetization = 0.0 μB/cell; volume = 53.3 Å³ per atom
1.0
-4.342 2.327 -4.137
-4.747 -2.148 3.774
-0.016 5.600 3.167
Cs Bi Cl
1 3 1
direct
0.000 0.000 0.000
0.000 0.500 0.000
0.000 0.000 0.500
0.500 0.000 0.000
0.500 0.500 0.500

The winner here is #w, beating the second structure by 1056 meV/atom.

#w
Cs2InBiCl6 | Alexandria via LeMat-Bulk | PBE | optimized geometry; theoretical density = 3.6 g/cm3; spin magnetization = 0.0 μB/cell; volume = 37.4 Å³ per atom
1.0
7.960 0.000 -0.025
0.000 8.220 0.000
0.038 0.000 11.422
Cs In Bi Cl
4 2 2 12
direct
0.014 0.946 0.250
0.514 0.554 0.750
0.986 0.054 0.750
0.486 0.446 0.250
0.500 0.000 0.000
0.000 0.500 0.500
0.500 0.000 0.500
0.000 0.500 0.000
0.278 0.692 0.036
0.778 0.808 0.536
0.722 0.308 0.964
0.222 0.192 0.464
0.311 0.725 0.463
0.811 0.775 0.963
0.689 0.275 0.537
0.189 0.225 0.037
0.929 0.516 0.234
0.429 0.984 0.734
0.071 0.484 0.766
0.571 0.016 0.266

#x
Cs2InBiCl6 | Alexandria via LeMat-Bulk | PBE | optimized geometry; theoretical density = 3.5 g/cm3; spin magnetization = 0.0 μB/cell; volume = 37.7 Å³ per atom
1.0
8.107 0.000 0.000
4.054 7.021 0.000
4.054 2.340 6.619
Cs In Bi Cl
2 1 1 6
direct
0.750 0.750 0.750
0.250 0.250 0.250
0.500 0.500 0.500
0.000 0.000 0.000
0.762 0.238 0.238
0.238 0.238 0.762
0.238 0.762 0.762
0.238 0.762 0.238
0.762 0.238 0.762
0.762 0.762 0.238

The winner here is #w, beating the second structure by 11 meV/atom.